VASP calculation (PBE) on a relaxed structure of MgNbGe2Au.

```
data_MgNbGe2Au
_chemical_formula_sum 'Mg1 Nb1 Ge2 Au1'
_cell_length_a 4.963
_cell_length_b 4.963
_cell_length_c 5.239
_cell_angle_alpha 90.00
_cell_angle_beta 90.00
_cell_angle_gamma 90.00
_space_group_name_H-M_alt 'P 4/m m m'
_space_group_IT_number 123
_space_group_name_Hall '-P 4 2'
loop_
_atom_site_label
_atom_site_type_symbol
_atom_site_fract_x
_atom_site_fract_y
_atom_site_fract_z
Mg1 Mg 0.000 0.000 0.000
Nb1 Nb 0.500 0.500 0.500
Ge1 Ge 0.000 0.500 0.500
Au1 Au 0.500 0.500 0.000
```

formation enthalpy at 0 K: 0.475 eV/atom
D(E_F): 3.64 states/eV per cell
total magnetization: 0.00 μB per formula unit